Arrangement A

AcLaPmAg | GGA-PBE | optimized geometry

a = 5.7043 Å, b = 5.7043 Å, c = 5.7043 Å
α = 60.00°, β = 60.00°, γ = 60.00°
Last column: nearest neighbours and their distance in Å.
Fractional coordinates of all 4 atoms:
Ac1 0.2500 0.2500 0.2500  4 Pm 3.49, 4 La 3.49
Pm1 0.0000 0.0000 0.0000  4 Ag 3.49, 4 Ac 3.49
La1 0.5000 0.5000 0.5000  4 Ac 3.49, 4 Ag 3.49
Ag1 0.7500 0.7500 0.7500  4 Pm 3.49, 4 La 3.49

SG	No. 216
spin magnetization	0.00	Bohr magnetons per cell
calculated density	7.83	Mg/m³
density of states at the Fermi level	6.865	states/eV/f.u.


Arrangement B

AcLaPmAg | GGA-PBE | optimized geometry

a = 3.8298 Å, b = 3.8298 Å, c = 9.0209 Å
α = 90.00°, β = 90.00°, γ = 90.00°
Last column: nearest neighbours and their distance in Å.
Fractional coordinates of all 4 atoms:
La1 0.5000 0.5000 0.7770  4 Ag 3.33, 1 Pm 3.69
Ag1 0.0000 0.0000 0.5619  4 Pm 3.22, 4 La 3.33
Pm1 0.5000 0.5000 0.3681  4 Ag 3.22
Ac1 0.0000 0.0000 0.0776  4 Pm 3.77, 4 Ac 3.83, 4 La 3.83

SG	No. 99
spin magnetization	0.00	Bohr magnetons per cell
calculated density	7.77	Mg/m³
density of states at the Fermi level	5.751	states/eV/f.u.


Relative energy of each structure, in meV per atom: arrangement A 248; arrangement B 0.


Arrangement A

AcLaPrAg | GGA-PBE | optimized geometry

a = 5.7338 Å, b = 5.7338 Å, c = 5.7338 Å
α = 60.00°, β = 60.00°, γ = 60.00°
Last column: nearest neighbours and their distance in Å.
Fractional coordinates of all 4 atoms:
La1 0.0000 0.0000 0.0000  4 Ac 3.51, 4 Ag 3.51
Ac1 0.7500 0.7500 0.7500  4 Pr 3.51, 4 La 3.51
Pr1 0.5000 0.5000 0.5000  4 Ag 3.51, 4 Ac 3.51
Ag1 0.2500 0.2500 0.2500  4 La 3.51, 4 Pr 3.51

SG	No. 216
spin magnetization	0.00	Bohr magnetons per cell
calculated density	7.66	Mg/m³
density of states at the Fermi level	6.795	states/eV/f.u.


Arrangement B

AcLaPrAg | GGA-PBE | optimized geometry

a = 3.8533 Å, b = 3.8533 Å, c = 9.0426 Å
α = 90.00°, β = 90.00°, γ = 90.00°
Last column: nearest neighbours and their distance in Å.
Fractional coordinates of all 4 atoms:
Ac1 0.0000 0.0000 0.0738  4 Pr 3.79, 4 La 3.82, 4 Ac 3.85
La1 0.5000 0.5000 0.7776  4 Ag 3.32
Pr1 0.5000 0.5000 0.3655  4 Ag 3.28
Ag1 0.0000 0.0000 0.5678  4 Pr 3.28, 4 La 3.32

SG	No. 99
spin magnetization	0.00	Bohr magnetons per cell
calculated density	7.60	Mg/m³
density of states at the Fermi level	5.982	states/eV/f.u.


Relative energy of each structure, in meV per atom: arrangement A 240; arrangement B 0.


Arrangement A

AcLaTbAg | GGA-PBE | optimized geometry

a = 3.7890 Å, b = 3.7890 Å, c = 9.0366 Å
α = 90.00°, β = 90.00°, γ = 90.00°
Last column: nearest neighbours and their distance in Å.
Fractional coordinates of all 4 atoms:
La1 0.5000 0.5000 0.7761  4 Ag 3.35, 1 Tb 3.64
Ag1 0.0000 0.0000 0.5535  4 Tb 3.14, 4 La 3.35
Ac1 0.0000 0.0000 0.0823  4 Tb 3.75, 4 Ac 3.79, 4 La 3.85
Tb1 0.5000 0.5000 0.3728  4 Ag 3.14

SG	No. 99
spin magnetization	0.00	Bohr magnetons per cell
calculated density	8.10	Mg/m³
density of states at the Fermi level	5.339	states/eV/f.u.


Arrangement B

AcLaTbAg | GGA-PBE | optimized geometry

a = 5.6674 Å, b = 5.6674 Å, c = 5.6674 Å
α = 60.00°, β = 60.00°, γ = 60.00°
Last column: nearest neighbours and their distance in Å.
Fractional coordinates of all 4 atoms:
Ag1 0.2500 0.2500 0.2500  4 Tb 3.47, 4 La 3.47
Ac1 0.7500 0.7500 0.7500  4 La 3.47, 4 Tb 3.47
Tb1 0.0000 0.0000 0.0000  4 Ac 3.47, 4 Ag 3.47
La1 0.5000 0.5000 0.5000  4 Ag 3.47, 4 Ac 3.47

SG	No. 216
spin magnetization	0.00	Bohr magnetons per cell
calculated density	8.16	Mg/m³
density of states at the Fermi level	7.364	states/eV/f.u.


Relative energy of each structure, in meV per atom: arrangement A 0; arrangement B 267.